This record from the Open Quantum Materials Database describes CdNi10 after structural relaxation. The functional is PBE-GGA.

Geometry as POSCAR:
```
CdNi10
1.0
3.902 -1.731 0.000
3.902 1.731 0.000
-0.074 0.000 29.374
Cd Ni
2 20
Direct
0.152 0.152 0.202 Cd
0.848 0.848 0.798 Cd
0.049 0.049 0.675 Ni
0.051 0.051 0.406 Ni
0.149 0.149 0.755 Ni
0.150 0.150 0.487 Ni
0.249 0.249 0.567 Ni
0.251 0.251 0.297 Ni
0.349 0.349 0.648 Ni
0.351 0.351 0.379 Ni
0.450 0.450 0.460 Ni
0.451 0.451 0.730 Ni
0.549 0.549 0.270 Ni
0.550 0.550 0.540 Ni
0.649 0.649 0.621 Ni
0.651 0.651 0.352 Ni
0.749 0.749 0.703 Ni
0.751 0.751 0.433 Ni
0.850 0.850 0.513 Ni
0.851 0.851 0.245 Ni
0.949 0.949 0.594 Ni
0.951 0.951 0.325 Ni
```

## Properties
ΔH_f (0 K)   0.087 eV per atom
SG   C2/m (12)
Calculated total energy   -111.23 eV/cell
Magnetic moment   5.5 μB per formula unit



This record from the Open Quantum Materials Database describes CdNi9 after structural relaxation. The functional is PBE-GGA.

Geometry as POSCAR:
```
CdNi9
1.0
2.535 0.000 0.000
0.000 3.450 0.000
0.000 0.000 38.511
Cd Ni
2 18
Direct
0.250 0.250 0.185 Cd
0.750 0.750 0.815 Cd
0.250 0.250 0.260 Ni
0.250 0.250 0.324 Ni
0.250 0.250 0.388 Ni
0.250 0.250 0.452 Ni
0.250 0.250 0.516 Ni
0.250 0.250 0.580 Ni
0.250 0.250 0.644 Ni
0.250 0.250 0.708 Ni
0.250 0.250 0.772 Ni
0.750 0.750 0.228 Ni
0.750 0.750 0.292 Ni
0.750 0.750 0.356 Ni
0.750 0.750 0.420 Ni
0.750 0.750 0.484 Ni
0.750 0.750 0.548 Ni
0.750 0.750 0.612 Ni
0.750 0.750 0.676 Ni
0.750 0.750 0.740 Ni
```

## Properties
ΔH_f (0 K)   0.072 eV per atom
SG   Pmmn (59)
Energy relative to the lowest polymorph listed for this composition   0.0000 eV/atom
Calculated total energy   -100.57 eV/cell
Magnetic moment   5.1 μB per formula unit



This record from the Open Quantum Materials Database describes CdNi15 after structural relaxation. The functional is PBE-GGA.

Geometry as POSCAR:
```
CdNi15
1.0
3.513 0.000 0.000
0.000 3.513 0.000
0.000 0.000 41.091
Cd Ni
2 30
Direct
0.250 0.000 0.165 Cd
0.750 0.000 0.835 Cd
0.250 0.000 0.267 Ni
0.250 0.000 0.352 Ni
0.250 0.000 0.437 Ni
0.250 0.000 0.521 Ni
0.250 0.000 0.606 Ni
0.250 0.000 0.691 Ni
0.250 0.000 0.776 Ni
0.250 0.500 0.224 Ni
0.250 0.500 0.309 Ni
0.250 0.500 0.394 Ni
0.250 0.500 0.479 Ni
0.250 0.500 0.563 Ni
0.250 0.500 0.648 Ni
0.250 0.500 0.733 Ni
0.250 0.500 0.816 Ni
0.750 0.000 0.224 Ni
0.750 0.000 0.309 Ni
0.750 0.000 0.394 Ni
0.750 0.000 0.479 Ni
0.750 0.000 0.563 Ni
0.750 0.000 0.648 Ni
0.750 0.000 0.733 Ni
0.750 0.500 0.184 Ni
0.750 0.500 0.267 Ni
0.750 0.500 0.352 Ni
0.750 0.500 0.437 Ni
0.750 0.500 0.521 Ni
0.750 0.500 0.606 Ni
0.750 0.500 0.691 Ni
0.750 0.500 0.776 Ni
```

## Properties
ΔH_f (0 K)   0.069 eV per atom
SG   Pmma (51)
Energy relative to the lowest polymorph listed for this composition   0.0000 eV/atom
Calculated total energy   -166.62 eV/cell
Magnetic moment   5.3 μB per formula unit



This record from the Open Quantum Materials Database describes Cd2Ni3 after structural relaxation. The functional is PBE-GGA.

Geometry as POSCAR:
```
Cd2Ni3
1.0
3.088 1.783 4.752
-3.088 1.783 4.752
0.000 -3.565 4.752
Cd Ni
4 6
Direct
0.094 0.094 0.094 Cd
0.406 0.406 0.406 Cd
0.594 0.594 0.594 Cd
0.906 0.906 0.906 Cd
0.028 0.250 0.472 Ni
0.250 0.472 0.028 Ni
0.472 0.028 0.250 Ni
0.528 0.972 0.750 Ni
0.750 0.528 0.972 Ni
0.972 0.750 0.528 Ni
```

## Properties
ΔH_f (0 K)   0.520 eV per atom
SG   R-3c (167)
Calculated total energy   -31.79 eV/cell
Magnetic moment   0.0 μB per formula unit



This record from the Open Quantum Materials Database describes Cd2Ni after structural relaxation. The functional is PBE-GGA.

Geometry as POSCAR:
```
Cd2Ni
1.0
5.935 0.000 0.000
0.000 5.935 0.000
0.000 0.000 3.793
Cd Ni
4 2
Direct
0.202 0.202 0.000 Cd
0.298 0.702 0.500 Cd
0.702 0.298 0.500 Cd
0.798 0.798 0.000 Cd
0.000 0.000 0.500 Ni
0.500 0.500 0.000 Ni
```

## Properties
ΔH_f (0 K)   0.323 eV per atom
SG   P4_2/mnm (136)
Calculated total energy   -12.78 eV/cell
Magnetic moment   0.0 μB per formula unit



This record from the Open Quantum Materials Database describes CdNiOs2 after structural relaxation. The functional is PBE-GGA.

Geometry as POSCAR:
```
CdNiOs2
1.0
0.000 3.095 3.095
3.095 0.000 3.095
3.095 3.095 0.000
Cd Ni Os
1 1 2
Direct
0.000 0.000 0.000 Cd
0.750 0.750 0.750 Ni
0.250 0.250 0.250 Os
0.500 0.500 0.500 Os
```

## Properties
ΔH_f (0 K)   0.608 eV per atom
SG   F-43m (216)
Calculated total energy   -26.48 eV/cell
Magnetic moment   0.0 μB per formula unit



This record from the Open Quantum Materials Database describes Cd2SiNiP4 after structural relaxation. The functional is PBE-GGA.

Geometry as POSCAR:
```
Cd2SiNiP4
1.0
-2.782 2.782 5.417
2.782 -2.782 5.417
2.782 2.782 -5.417
Cd Si Ni P
2 1 1 4
Direct
0.000 0.000 0.000 Cd
0.750 0.250 0.500 Cd
0.250 0.750 0.500 Si
0.500 0.500 0.000 Ni
0.185 0.617 0.049 P
0.383 0.431 0.567 P
0.569 0.136 0.951 P
0.864 0.815 0.433 P
```

## Properties
SG   I-4 (82)
Calculated total energy   -34.77 eV/cell
Magnetic moment   0.0 μB per formula unit



This record from the Open Quantum Materials Database describes Cd2NiSnP4 after structural relaxation. The functional is PBE-GGA.

Geometry as POSCAR:
```
Cd2NiSnP4
1.0
-2.880 2.880 5.575
2.880 -2.880 5.575
2.880 2.880 -5.575
Cd Ni Sn P
2 1 1 4
Direct
0.000 0.000 0.000 Cd
0.750 0.250 0.500 Cd
0.250 0.750 0.500 Ni
0.500 0.500 0.000 Sn
0.147 0.643 0.065 P
0.357 0.423 0.504 P
0.577 0.082 0.935 P
0.918 0.853 0.496 P
```

## Properties
SG   I-4 (82)
Calculated total energy   -32.83 eV/cell
Magnetic moment   0.0 μB per formula unit



This record from the Open Quantum Materials Database describes PaCdNi after structural relaxation. The functional is PBE-GGA.

Geometry as POSCAR:
```
PaCdNi
1.0
0.000 3.186 3.186
3.186 0.000 3.186
3.186 3.186 0.000
Pa Cd Ni
1 1 1
Direct
0.000 0.000 0.000 Pa
0.500 0.500 0.500 Cd
0.250 0.250 0.250 Ni
```

## Properties
ΔH_f (0 K)   0.019 eV per atom
SG   F-43m (216)
Energy relative to the lowest polymorph listed for this composition   0.0000 eV/atom
Calculated total energy   -15.90 eV/cell
Magnetic moment   0.0 μB per formula unit



This record from the Open Quantum Materials Database describes PaCdNi after structural relaxation. The functional is PBE-GGA.

Geometry as POSCAR:
```
PaCdNi
1.0
0.000 3.331 3.331
3.331 0.000 3.331
3.331 3.331 0.000
Pa Cd Ni
1 1 1
Direct
0.000 0.000 0.000 Pa
0.750 0.750 0.750 Cd
0.250 0.250 0.250 Ni
```

## Properties
ΔH_f (0 K)   0.780 eV per atom
SG   F-43m (216)
Energy relative to the lowest polymorph listed for this composition   0.7605 eV/atom
Calculated total energy   -13.62 eV/cell
Magnetic moment   0.3 μB per formula unit



This record from the Open Quantum Materials Database describes CdNiPdPb after structural relaxation. The functional is PBE-GGA.

Geometry as POSCAR:
```
CdNiPdPb
1.0
0.000 3.297 3.297
3.297 0.000 3.297
3.297 3.297 0.000
Cd Ni Pd Pb
1 1 1 1
Direct
0.000 0.000 0.000 Cd
0.750 0.750 0.750 Ni
0.250 0.250 0.250 Pd
0.500 0.500 0.500 Pb
```

## Properties
SG   F-43m (216)
Calculated total energy   -15.54 eV/cell
Magnetic moment   0.0 μB per formula unit



This record from the Open Quantum Materials Database describes CdNiPtPb after structural relaxation. The functional is PBE-GGA.

Geometry as POSCAR:
```
CdNiPtPb
1.0
0.000 3.301 3.301
3.301 0.000 3.301
3.301 3.301 0.000
Cd Ni Pt Pb
1 1 1 1
Direct
0.000 0.000 0.000 Cd
0.750 0.750 0.750 Ni
0.250 0.250 0.250 Pt
0.500 0.500 0.500 Pb
```

## Properties
SG   F-43m (216)
Calculated total energy   -16.12 eV/cell
Magnetic moment   0.0 μB per formula unit